# Pr2Ge3Rh4Au

An optimized crystal structure of Pr2Ge3Rh4Au (PBE, Alexandria via LeMat-Bulk).

Formation enthalpy at 0 K = -0.754 eV per atom

Lattice parameters (Å, degrees): 4.2514 4.2514 10.5809 90.00 90.00 90.00
Element x y z (fractional)
Rh 0.0000 0.5000 0.3507
Au 0.5000 0.5000 0.5000
Rh 0.5000 0.5000 0.0000
Ge 0.5000 0.0000 0.8776
Ge 0.0000 0.0000 0.5000
Rh 0.0000 0.0000 0.0000
Pr 0.0000 0.5000 0.7478
Ge 0.0000 0.5000 0.1224
Rh 0.5000 0.0000 0.6493
Pr 0.5000 0.0000 0.2522